No. 1
DFT (PBE) results for an optimized crystal structure of TmZrZn10.

Computed properties:
Density of states at the Fermi level = 3.42 states/eV per cell
Symmetry = Pmmm (47)
Mass density = 7.7 g/cm3

Unit cell a=4.1662 b=5.2388 c=9.0114 alpha=90.00 beta=90.00 gamma=90.00
Last column: nearest neighbours and their distance in Å.
Atoms (fractional coordinates):
Zn  0.5000  0.0000  0.5000  8 Zn 2.54-2.58
Zn  0.0000  0.0000  0.6613  6 Zn 2.54-2.58
Zn  0.0000  0.5000  0.1728  6 Zn 2.56-2.60
Zn  0.5000  0.5000  0.0000  8 Zn 2.60-2.63
Tm  0.0000  0.0000  0.0000  18 Zn 3.05-3.36
Zn  0.5000  0.7480  0.7464  8 Zn 2.56-2.64
Zn  0.0000  0.0000  0.3387  6 Zn 2.54-2.58
Zn  0.5000  0.2520  0.7464  8 Zn 2.56-2.64
Zn  0.5000  0.2520  0.2536  8 Zn 2.56-2.64
Zn  0.0000  0.5000  0.8272  6 Zn 2.56-2.60
Zr  0.0000  0.5000  0.5000  6 Zn 2.95-3.00
Zn  0.5000  0.7480  0.2536  8 Zn 2.56-2.64

=====

No. 2
DFT (PBE) results for an optimized crystal structure of Tm3ZrZn4.

Computed properties:
Density of states at the Fermi level = 8.26 states/eV per cell
Symmetry = P4/mmm (123)
Mass density = 8.5 g/cm3

Unit cell a=3.4729 b=3.4729 c=13.8960 alpha=90.00 beta=90.00 gamma=90.00
Last column: nearest neighbours and their distance in Å.
Atoms (fractional coordinates):
Tm  0.5000  0.5000  0.5000  8 Zn 3.04
Zn  0.0000  0.0000  0.3714  8 Tm 3.04
Zn  0.0000  0.0000  0.8869  4 Zr 2.92, 4 Tm 3.05, 1 Zn 3.14
Zr  0.5000  0.5000  0.0000  8 Zn 2.92
Tm  0.5000  0.5000  0.2429  8 Zn 3.04-3.05, 1 Zr 3.38
Tm  0.5000  0.5000  0.7571  8 Zn 3.04-3.05, 1 Zr 3.38
Zn  0.0000  0.0000  0.6286  8 Tm 3.04
Zn  0.0000  0.0000  0.1131  4 Zr 2.92, 4 Tm 3.05, 1 Zn 3.14

=====

No. 3
DFT (PBE) results for an optimized crystal structure of TmZrZn.

Computed properties:
Density of states at the Fermi level = 2.22 states/eV per cell
Offset from the most stable computed form = 224 meV per atom
Symmetry = P3m1 (156)
Mass density = 7.9 g/cm3

Unit cell a=3.3687 b=4.8438 c=4.8438 alpha=120.00 beta=90.00 gamma=90.00
Last column: nearest neighbours and their distance in Å.
Atoms (fractional coordinates):
Zr  0.1515  0.0000  0.0000  3 Zn 2.80
Tm  0.6594  0.6667  0.3333  6 Zn 3.21-3.32, 6 Zr 3.25-3.28, 2 Tm 3.37
Zn  0.1890  0.3333  0.6667  3 Zr 2.80

=====

No. 4
DFT (PBE) results for an optimized crystal structure of Tm2Zr2Zn.

Computed properties:
Density of states at the Fermi level = 5.89 states/eV per cell
Symmetry = I4/mmm (139)
Mass density = 8.2 g/cm3

Unit cell a=3.3300 b=3.3300 c=10.9802 alpha=98.72 beta=98.72 gamma=90.00
Last column: nearest neighbours and their distance in Å.
Atoms (fractional coordinates):
Tm  0.4095  0.4095  0.8191  4 Zn 3.05, 4 Zr 3.32, 4 Tm 3.33
Tm  0.5905  0.5905  0.1809  4 Zn 3.05, 4 Zr 3.32, 4 Tm 3.33
Zr  0.1993  0.1993  0.3986  8 Zr 3.21-3.33, 4 Tm 3.32
Zr  0.8007  0.8007  0.6014  8 Zr 3.21-3.33, 4 Tm 3.32
Zn  0.0000  0.0000  0.0000  8 Tm 3.05, 4 Zn 3.33

=====

No. 5
DFT (PBE) results for an optimized crystal structure of Tm4ZrZn5.

Computed properties:
Density of states at the Fermi level = 9.62 states/eV per cell
Symmetry = P4/mmm (123)
Mass density = 8.6 g/cm3

Unit cell a=3.4874 b=3.4874 c=17.3712 alpha=90.00 beta=90.00 gamma=90.00
Last column: nearest neighbours and their distance in Å.
Atoms (fractional coordinates):
Tm  0.0000  0.0000  0.1935  8 Zn 3.03-3.05, 1 Zr 3.36
Zn  0.5000  0.5000  0.9098  4 Zr 2.92, 4 Tm 3.05, 1 Zn 3.13
Tm  0.0000  0.0000  0.6026  8 Zn 3.04
Zn  0.5000  0.5000  0.7049  8 Tm 3.03-3.04
Tm  0.0000  0.0000  0.8065  8 Zn 3.03-3.05, 1 Zr 3.36
Zn  0.5000  0.5000  0.0902  4 Zr 2.92, 4 Tm 3.05, 1 Zn 3.13
Tm  0.0000  0.0000  0.3974  8 Zn 3.04
Zn  0.5000  0.5000  0.5000  8 Tm 3.04
Zn  0.5000  0.5000  0.2951  8 Tm 3.03-3.04
Zr  0.0000  0.0000  0.0000  8 Zn 2.92

=====

No. 6
DFT (PBE) results for an optimized crystal structure of TmZrZn6.

Computed properties:
Density of states at the Fermi level = 4.02 states/eV per cell
Symmetry = Amm2 (38)
Mass density = 7.8 g/cm3

Unit cell a=4.4055 b=5.9594 c=5.9594 alpha=118.02 beta=90.00 gamma=90.00
Last column: nearest neighbours and their distance in Å.
Atoms (fractional coordinates):
Zn  0.0000  0.5897  0.4103  6 Zn 2.71-2.82, 2 Tm 2.91
Zr  0.0000  0.0947  0.9053  12 Zn 2.86-3.07
Zn  0.5000  0.8883  0.5574  6 Zn 2.71-2.91, 2 Zr 2.88, 2 Tm 2.97-3.00
Tm  0.5000  0.4042  0.5958  12 Zn 2.89-3.07
Zn  0.0000  0.6115  0.9478  6 Zn 2.70-2.82, 2 Tm 2.89, 2 Zr 2.97-3.01
Zn  0.5000  0.9166  0.0834  6 Zn 2.73-2.91, 2 Zr 2.86
Zn  0.5000  0.4426  0.1117  6 Zn 2.71-2.91, 2 Zr 2.88, 2 Tm 2.97-3.00
Zn  0.0000  0.0522  0.3885  6 Zn 2.70-2.82, 2 Tm 2.89, 2 Zr 2.97-3.01

=====

The records above give, respectively, energy of formation values of -192; -313; 10; -97; -323; -281 meV per atom.